## a
The following is a PBE-GGA calculation of Y2ErTm2Lu2Ni2Te2 after structural relaxation, from the Open Quantum Materials Database.

Cell: 3.8292 15.4091 9.4449 Å, 90.00 90.00 90.00°
Space group Imm2 (No. 44)
Inequivalent atoms, fractional coordinates:
Y  0.0000  0.1470  0.0000 x4
Er  0.0000  0.5000  0.7325 x2
Tm  0.0000  0.1848  0.3528 x4
Lu  0.0000  0.3658  0.1487 x4
Ni  0.0000  0.2593  0.6625 x4
Te  0.0000  0.0000  0.4988 x2
Te  0.0000  0.5000  0.3920 x2

M_tot = 0.0 μB/cell
Mass density = 8.376 g/cm³


## b
The following is a PBE-GGA calculation of Y2ErTm2Lu2Ni2Te2 after structural relaxation, from the Open Quantum Materials Database.

Cell: 3.8146 15.4288 9.4908 Å, 90.00 90.00 90.00°
Space group Imm2 (No. 44)
Inequivalent atoms, fractional coordinates:
Y  0.0000  0.1847  0.0000 x4
Er  0.0000  0.5000  0.3785 x2
Tm  0.0000  0.3679  0.7977 x4
Lu  0.0000  0.1467  0.6488 x4
Ni  0.0000  0.2616  0.3056 x4
Te  0.0000  0.0000  0.1446 x2
Te  0.0000  0.5000  0.0431 x2

M_tot = 0.0 μB/cell
Mass density = 8.356 g/cm³


## c
The following is a PBE-GGA calculation of Y2ErTm2Lu2Ni2Te2 after structural relaxation, from the Open Quantum Materials Database.

Cell: 3.8344 15.4682 9.4576 Å, 90.00 90.00 90.00°
Space group Imm2 (No. 44)
Inequivalent atoms, fractional coordinates:
Y  0.0000  0.1471  0.0000 x4
Er  0.0000  0.5000  0.7328 x2
Tm  0.0000  0.3663  0.1489 x4
Lu  0.0000  0.1844  0.3533 x4
Ni  0.0000  0.2608  0.6656 x4
Te  0.0000  0.0000  0.4978 x2
Te  0.0000  0.5000  0.3933 x2

M_tot = 0.1 μB/cell
Mass density = 8.321 g/cm³


Relative to the most stable one, in meV per atom, the structures come out at a 6; b 22; c 0.